# Ba2YMo

Ba2YMo after structural relaxation (GGA-PBE, the Alexandria database).

Computed properties:
As for the crystal system: monoclinic. The space-group type is P2/m, No. 10. As for the energy above the most stable polymorph in this dataset: 1.58 eV per formula unit. The value obtained for the total moment is 1.84 μB per formula unit. For the density of states at the Fermi level, the calculation gives 1.18 states/eV/atom. The calculation puts the formation energy at 94.6 kJ per mole of atoms. As for the density: 5.494 Mg/m³.

a b c (Å): 3.836 5.396 6.859
angles (deg): 90.00 102.01 90.00
Element x y z (fractional)
Ba 0.102 0.000 0.273
Ba 0.898 0.000 0.727
Y 0.500 0.500 0.000
Mo 0.500 0.500 0.500